Record 1
The following is a PBE-GGA calculation of SrPt2Au after structural relaxation, from Alexandria via LeMat-Bulk.

Cell and atoms, written as POSCAR:
```
SrPt2Au
1.0
-2.123 2.131 4.419
2.123 -2.131 4.419
2.123 2.131 -4.419
Sr Pt Au
1 2 1
Cartesian
0.000 0.000 0.000 Sr
2.123 0.000 2.213 Pt
0.000 2.131 2.206 Pt
0.000 0.000 4.419 Au
```

Space-group type: Immm

Record 2
The following is a PBE-GGA calculation of SrPt2Au2 after structural relaxation, from Alexandria via LeMat-Bulk.

Cell and atoms, written as POSCAR:
```
SrPt2Au2
1.0
-2.059 2.059 12.712
2.059 -2.059 12.712
2.059 2.059 -12.712
Sr Pt Au
2 4 4
Cartesian
0.000 0.000 3.138 Sr
0.000 0.000 22.286 Sr
2.059 0.000 6.356 Pt
0.000 0.000 10.837 Pt
0.000 0.000 14.587 Pt
0.000 2.059 6.356 Pt
2.059 0.000 0.000 Au
0.000 0.000 8.230 Au
0.000 2.059 0.000 Au
0.000 0.000 17.194 Au
```

Space-group type: I4/mmm

Record 3
The following is a PBE-GGA calculation of Sr5PtAu after structural relaxation, from Alexandria via LeMat-Bulk.

Cell and atoms, written as POSCAR:
```
Sr5PtAu
1.0
8.571 0.000 0.000
0.000 4.521 0.000
-0.659 0.000 14.173
Sr Pt Au
10 2 2
Cartesian
0.452 1.130 2.404 Sr
0.856 3.391 8.097 Sr
2.798 3.391 0.250 Sr
2.432 1.130 11.050 Sr
2.838 1.130 5.250 Sr
5.074 3.391 8.923 Sr
5.480 3.391 3.122 Sr
5.113 1.130 13.923 Sr
7.056 1.130 6.076 Sr
7.459 3.391 11.769 Sr
3.651 1.130 2.149 Pt
4.260 3.391 12.024 Pt
0.334 3.391 4.811 Au
7.577 1.130 9.361 Au
```

Space-group type: P2_1/m

| no. | ΔE_f (eV/f.u.) | size of the total moment (μB/cell) | total energy (eV per atom) |
| --- | --- | --- | --- |
| 1 | -1.27 | 0.00 | -4.577 |
| 2 | -1.86 | 0.00 | -4.436 |
| 3 | -3.64 | 0.00 | -3.052 |